Entry 1:
Computed, not measured: a geometry-optimized MgTlCo structure at the PBE level of DFT.

Cell: 4.555 4.555 3.091 Å, 90.00 90.00 120.00°
Atoms (fractional coordinates):
Tl1 0.333 0.667 0.834
Mg1 0.667 0.333 0.334
Co1 0.000 0.000 0.832

- density of states at the Fermi level (states/eV/cell) = 3.5
- volume (Å³/cell) = 55.55
- ΔH_f (0 K) (eV/f.u.) = 0.99
- electronic total energy (eV/atom) = -3.358
- SG = P3m1

Entry 2:
Computed, not measured: a geometry-optimized Mg4TlCo structure at the PBE level of DFT.

Cell: 5.652 5.652 5.652 Å, 60.00 60.00 60.00°
Atoms (fractional coordinates):
Mg1 0.877 0.374 0.374
Co1 0.000 0.000 0.000
Mg2 0.374 0.877 0.374
Tl1 0.750 0.750 0.750
Mg3 0.374 0.374 0.877
Mg4 0.374 0.374 0.374

- density of states at the Fermi level (states/eV/cell) = 8.0
- volume (Å³/cell) = 127.66
- ΔH_f (0 K) (eV/f.u.) = 2.42
- electronic total energy (eV/atom) = -2.238
- SG = F-43m

Entry 3:
Computed, not measured: a geometry-optimized MgTlCo structure at the PBE level of DFT.

Cell: 5.347 5.347 5.347 Å, 143.75 143.76 52.19°
Atoms (fractional coordinates):
Co1 0.993 0.993 0.000
Mg1 0.354 0.354 0.000
Tl1 0.653 0.653 0.000

- density of states at the Fermi level (states/eV/cell) = 2.8
- volume (Å³/cell) = 53.13
- ΔH_f (0 K) (eV/f.u.) = 0.78
- electronic total energy (eV/atom) = -3.429
- SG = I4mm

Entry 4:
Computed, not measured: a geometry-optimized MgTlCo2 structure at the PBE level of DFT.

Cell: 8.571 8.571 8.571 Å, 20.18 20.18 20.18°
Atoms (fractional coordinates):
Co1 0.501 0.501 0.501
Mg1 0.250 0.250 0.250
Co2 0.999 0.999 0.999
Tl1 0.750 0.750 0.750

- density of states at the Fermi level (states/eV/cell) = 4.4
- volume (Å³/cell) = 65.59
- ΔH_f (0 K) (eV/f.u.) = 2.25
- electronic total energy (eV/atom) = -3.980
- SG = R-3m

Entry 5:
Computed, not measured: a geometry-optimized MgTl2Co structure at the PBE level of DFT.

Cell: 9.850 9.850 7.391 Å, 48.21 48.21 90.00°
Atoms (fractional coordinates):
Tl1 0.875 0.125 0.250
Mg1 0.500 0.500 0.000
Mg2 0.250 0.750 0.500
Tl2 0.875 0.125 0.750
Tl3 0.875 0.625 0.250
Tl4 0.375 0.125 0.750
Co1 0.750 0.250 0.500
Co2 0.000 0.000 0.000

- density of states at the Fermi level (states/eV/cell) = 6.6
- volume (Å³/cell) = 239.87
- ΔH_f (0 K) (eV/f.u.) = 1.18
- electronic total energy (eV/atom) = -3.064
- SG = I4_1/amd

Entry 6:
Computed, not measured: a geometry-optimized MgTl2Co structure at the PBE level of DFT.

Cell: 8.963 8.963 8.963 Å, 21.63 21.63 21.63°
Atoms (fractional coordinates):
Tl1 0.990 0.990 0.990
Mg1 0.750 0.750 0.750
Co1 0.250 0.250 0.250
Tl2 0.510 0.510 0.510

- density of states at the Fermi level (states/eV/cell) = 3.4
- volume (Å³/cell) = 85.74
- ΔH_f (0 K) (eV/f.u.) = 1.40
- electronic total energy (eV/atom) = -3.009
- SG = R-3m

Entry 7:
Computed, not measured: a geometry-optimized MgTlCo2 structure at the PBE level of DFT.

Cell: 4.010 2.931 5.867 Å, 74.79 90.00 90.00°
Atoms (fractional coordinates):
Co1 0.000 0.868 0.050
Co2 0.000 0.632 0.450
Mg1 0.500 0.250 0.250
Tl1 0.500 0.750 0.750

- density of states at the Fermi level (states/eV/cell) = 5.0
- volume (Å³/cell) = 66.54
- ΔH_f (0 K) (eV/f.u.) = 1.63
- electronic total energy (eV/atom) = -4.135
- SG = P2/m

Entry 8:
Computed, not measured: a geometry-optimized MgTl2Co structure at the PBE level of DFT.

Cell: 5.659 5.659 5.659 Å, 144.68 124.39 67.62°
Atoms (fractional coordinates):
Co1 0.750 0.250 0.500
Mg1 0.250 0.750 0.500
Tl1 0.531 0.531 0.000
Tl2 0.969 0.969 0.000

- density of states at the Fermi level (states/eV/cell) = 3.0
- volume (Å³/cell) = 85.21
- ΔH_f (0 K) (eV/f.u.) = 1.43
- electronic total energy (eV/atom) = -3.002
- SG = Immm

Entry 9:
Computed, not measured: a geometry-optimized Mg2TlCo structure at the PBE level of DFT.

Cell: 5.498 5.498 4.604 Å, 65.04 65.04 36.27°
Atoms (fractional coordinates):
Tl1 0.750 0.750 0.750
Co1 0.250 0.250 0.250
Mg1 0.531 0.531 0.470
Mg2 0.969 0.969 0.030

- density of states at the Fermi level (states/eV/cell) = 1.7
- volume (Å³/cell) = 73.77
- ΔH_f (0 K) (eV/f.u.) = 0.77
- electronic total energy (eV/atom) = -2.974
- SG = C2/m

Entry 10:
Computed, not measured: a geometry-optimized MgTlCo2 structure at the PBE level of DFT.

Cell: 3.052 3.052 7.203 Å, 90.00 90.00 90.00°
Atoms (fractional coordinates):
Tl1 0.500 0.500 0.787
Mg1 0.000 0.000 0.443
Co1 0.000 0.000 0.061
Co2 0.500 0.500 0.208

- density of states at the Fermi level (states/eV/cell) = 3.5
- volume (Å³/cell) = 67.10
- ΔH_f (0 K) (eV/f.u.) = 0.89
- electronic total energy (eV/atom) = -4.319
- SG = P4mm

Entry 11:
Computed, not measured: a geometry-optimized Y2MgTlCo structure at the PBE level of DFT.

Cell: 5.082 5.082 4.995 Å, 90.00 90.00 90.00°
Atoms (fractional coordinates):
Co1 0.000 0.000 0.000
Y1 0.500 0.000 0.000
Tl1 0.500 0.500 0.500
Y2 0.000 0.500 0.000
Mg1 0.000 0.000 0.500

- density of states at the Fermi level (states/eV/cell) = 4.4
- volume (Å³/cell) = 128.98
- ΔH_f (0 K) (eV/f.u.) = -0.48
- electronic total energy (eV/atom) = -4.895
- SG = P4/mmm

Entry 12:
Computed, not measured: a geometry-optimized Y2MgTlCo structure at the PBE level of DFT.

Cell: 5.120 5.120 5.044 Å, 90.00 90.00 90.00°
Atoms (fractional coordinates):
Tl1 0.000 0.000 0.500
Y1 0.000 0.500 0.000
Y2 0.500 0.000 0.000
Co1 0.000 0.000 0.000
Mg1 0.500 0.500 0.500

- density of states at the Fermi level (states/eV/cell) = 4.4
- volume (Å³/cell) = 132.21
- ΔH_f (0 K) (eV/f.u.) = -0.20
- electronic total energy (eV/atom) = -4.839
- SG = P4/mmm

Entry 13:
Computed, not measured: a geometry-optimized Tm11Mg9Co4 structure at the PBE level of DFT.

Cell: 3.590 13.040 13.040 Å, 113.67 90.00 90.00°
Atoms (fractional coordinates):
Tm1 0.000 0.155 0.845
Tm2 0.000 0.689 0.689
Mg1 0.500 0.148 0.635
Co1 0.500 0.263 0.453
Tm3 0.000 0.904 0.580
Mg2 0.500 0.077 0.220
Tm4 0.000 0.096 0.420
Mg3 0.500 0.780 0.923
Co2 0.500 0.453 0.263
Tm5 0.000 0.000 0.000
Mg4 0.500 0.500 0.500
Tm6 0.000 0.629 0.371
Mg5 0.500 0.852 0.365
Mg6 0.500 0.635 0.148
Tm7 0.000 0.845 0.155
Mg7 0.500 0.365 0.852
Tm8 0.000 0.371 0.629
Co3 0.500 0.737 0.547
Mg8 0.500 0.923 0.780
Tm9 0.000 0.420 0.096
Tm10 0.000 0.311 0.311
Mg9 0.500 0.220 0.077
Tm11 0.000 0.580 0.904
Co4 0.500 0.547 0.737

- density of states at the Fermi level (states/eV/cell) = 22.6
- volume (Å³/cell) = 559.16
- ΔH_f (0 K) (eV/f.u.) = -3.29
- electronic total energy (eV/atom) = -3.969
- SG = Cmmm

Entry 14:
Computed, not measured: a geometry-optimized Tm4MgCo structure at the PBE level of DFT.

Cell: 9.448 9.448 9.448 Å, 60.00 60.00 60.00°
Atoms (fractional coordinates):
Tm1 0.344 0.344 0.344
Tm2 0.813 0.813 0.187
Tm3 0.187 0.813 0.813
Tm4 0.937 0.563 0.937
Tm5 0.563 0.563 0.937
Tm6 0.937 0.937 0.563
Tm7 0.968 0.344 0.344
Tm8 0.344 0.344 0.968
Mg1 0.579 0.262 0.579
Tm9 0.563 0.937 0.563
Co1 0.140 0.140 0.140
Tm10 0.344 0.968 0.344
Mg2 0.579 0.579 0.579
Mg3 0.579 0.579 0.262
Co2 0.579 0.140 0.140
Tm11 0.813 0.187 0.813
Tm12 0.187 0.813 0.187
Tm13 0.187 0.187 0.813
Co3 0.140 0.579 0.140
Tm14 0.563 0.937 0.937
Co4 0.140 0.140 0.579
Tm15 0.813 0.187 0.187
Mg4 0.262 0.579 0.579
Tm16 0.937 0.563 0.563

- density of states at the Fermi level (states/eV/cell) = 23.7
- volume (Å³/cell) = 596.32
- ΔH_f (0 K) (eV/f.u.) = -1.00
- electronic total energy (eV/atom) = -4.598
- SG = F-43m

Entry 15:
Computed, not measured: a geometry-optimized Tm3MgCo structure at the PBE level of DFT.

Cell: 5.137 5.137 5.137 Å, 90.00 90.00 90.00°
Atoms (fractional coordinates):
Tm1 0.000 0.500 0.000
Co1 0.000 0.000 0.000
Mg1 0.500 0.500 0.500
Tm2 0.000 0.000 0.500
Tm3 0.500 0.000 0.000

- density of states at the Fermi level (states/eV/cell) = 5.2
- volume (Å³/cell) = 135.53
- ΔH_f (0 K) (eV/f.u.) = -0.32
- electronic total energy (eV/atom) = -4.487
- SG = Pm-3m

Entry 16:
Computed, not measured: a geometry-optimized Tm4MgCo2 structure at the PBE level of DFT.

Cell: 7.096 6.782 8.800 Å, 126.59 101.87 85.97°
Atoms (fractional coordinates):
Tm1 0.309 0.672 0.857
Tm2 0.516 0.269 0.397
Co1 0.547 0.104 0.047
Tm3 0.400 0.672 0.242
Mg1 0.116 0.616 0.473
Co2 0.625 0.424 0.788
Tm4 0.873 0.115 0.645
Tm5 0.003 0.023 0.268
Co3 0.654 0.815 0.108
Tm6 0.400 0.104 0.746
Tm7 0.793 0.441 0.115
Mg2 0.169 0.192 0.035
Tm8 0.804 0.749 0.801
Co4 0.041 0.553 0.977

- density of states at the Fermi level (states/eV/cell) = 12.8
- volume (Å³/cell) = 332.03
- ΔH_f (0 K) (eV/f.u.) = -0.50
- electronic total energy (eV/atom) = -4.884
- SG = P1

Entry 17:
Computed, not measured: a geometry-optimized Tm5MgCo4 structure at the PBE level of DFT.

Cell: 3.306 3.306 17.984 Å, 90.00 90.00 90.00°
Atoms (fractional coordinates):
Co1 0.000 0.000 0.778
Tm1 0.500 0.500 0.682
Co2 0.000 0.000 0.409
Co3 0.000 0.000 0.591
Tm2 0.500 0.500 0.137
Mg1 0.000 0.000 0.000
Tm3 0.500 0.500 0.500
Tm4 0.500 0.500 0.863
Co4 0.000 0.000 0.222
Tm5 0.500 0.500 0.318

- density of states at the Fermi level (states/eV/cell) = 5.7
- volume (Å³/cell) = 196.51
- ΔH_f (0 K) (eV/f.u.) = -2.09
- electronic total energy (eV/atom) = -5.446
- SG = P4/mmm

Entry 18:
Computed, not measured: a geometry-optimized TmMgCo10 structure at the PBE level of DFT.

Cell: 3.990 4.787 8.367 Å, 90.00 90.00 90.00°
Atoms (fractional coordinates):
Co1 0.500 0.251 0.750
Co2 0.500 0.749 0.750
Co3 0.500 0.500 0.000
Co4 0.000 0.000 0.684
Tm1 0.000 0.500 0.500
Co5 0.000 0.000 0.316
Co6 0.500 0.000 0.500
Co7 0.000 0.500 0.158
Co8 0.500 0.251 0.250
Co9 0.000 0.500 0.842
Co10 0.500 0.749 0.250
Mg1 0.000 0.000 0.000

- density of states at the Fermi level (states/eV/cell) = 15.4
- volume (Å³/cell) = 159.81
- ΔH_f (0 K) (eV/f.u.) = -0.04
- electronic total energy (eV/atom) = -6.430
- SG = Pmmm

Entry 19:
Computed, not measured: a geometry-optimized Tm2MgCo2 structure at the PBE level of DFT.

Cell: 5.322 5.572 7.604 Å, 103.55 90.00 118.53°
Atoms (fractional coordinates):
Co1 0.993 0.300 0.008
Co2 0.007 0.700 0.992
Tm1 0.203 0.705 0.353
Tm2 0.501 0.705 0.853
Tm3 0.499 0.295 0.147
Mg1 0.134 0.000 0.750
Co3 0.307 0.300 0.508
Tm4 0.797 0.295 0.647
Co4 0.693 0.700 0.492
Mg2 0.866 0.000 0.250

- density of states at the Fermi level (states/eV/cell) = 4.2
- volume (Å³/cell) = 190.91
- ΔH_f (0 K) (eV/f.u.) = -1.04
- electronic total energy (eV/atom) = -5.158
- SG = C2/c

Entry 20:
Computed, not measured: a geometry-optimized Tm2Mg2Co15 structure at the PBE level of DFT.

Cell: 6.323 6.323 6.323 Å, 83.21 83.21 83.21°
Atoms (fractional coordinates):
Mg1 0.106 0.106 0.106
Co1 0.000 0.500 0.000
Co2 0.500 0.000 0.000
Co3 0.158 0.646 0.646
Tm1 0.647 0.647 0.647
Co4 0.646 0.158 0.646
Co5 0.646 0.646 0.158
Co6 0.294 0.706 0.000
Co7 0.000 0.000 0.500
Co8 0.294 0.000 0.706
Co9 0.706 0.294 0.000
Co10 0.000 0.294 0.706
Tm2 0.353 0.353 0.353
Co11 0.706 0.000 0.294
Mg2 0.894 0.894 0.894
Co12 0.354 0.354 0.842
Co13 0.354 0.842 0.354
Co14 0.000 0.706 0.294
Co15 0.842 0.354 0.354

- density of states at the Fermi level (states/eV/cell) = 21.3
- volume (Å³/cell) = 247.84
- ΔH_f (0 K) (eV/f.u.) = -1.55
- electronic total energy (eV/atom) = -6.330
- SG = R-3m